Here is a geometry-optimized Nd2AlPdSe5 structure from the Alexandria database. Energies are from PBE.

CIF file:
```
data_Nd2AlPdSe5
_chemical_formula_sum 'Nd8 Al4 Pd4 Se20'
_cell_length_a 4.001
_cell_length_b 18.105
_cell_length_c 11.437
_cell_angle_alpha 90.00
_cell_angle_beta 90.00
_cell_angle_gamma 90.00
_symmetry_space_group_name_H-M 'C m c 21'
_symmetry_Int_Tables_number 36
_symmetry_space_group_name_Hall 'C 2c -2'
loop_
_atom_site_label
_atom_site_type_symbol
_atom_site_fract_x
_atom_site_fract_y
_atom_site_fract_z
Nd1 Nd 0.000 0.106 0.000
Nd2 Nd 0.000 0.128 0.374
Al1 Al 0.000 0.408 0.178
Pd1 Pd 0.000 0.195 0.661
Se1 Se 0.000 0.027 0.762
Se2 Se 0.000 0.282 0.021
Se3 Se 0.000 0.305 0.334
Se4 Se 0.000 0.356 0.683
Se5 Se 0.000 0.474 0.990
```

Properties
The formation energy without anion corrections is -1.266 eV per atom. Its calculated total energy is -5.25 eV per atom.